Entry 1:
This record from Alexandria via LeMat-Bulk describes crystalline Ti4BPb at its relaxed geometry. The functional is PBE-GGA.

Lattice parameters (Å, degrees): 14.505 5.294 5.538 90.00 100.66 90.00
Space group C2/c (No. 15)
Unique sites:
Ti1 0.113 0.127 0.297
Ti2 0.202 0.390 0.821
B1 0.250 0.250 0.500
Pb1 0.000 0.340 0.750

Calculated values
- Total DFT energy (no corrections): -7.088 eV/atom
- Spin magnetization: 0.0001 μB per atom

Entry 2:
This record from Alexandria via LeMat-Bulk describes crystalline Ti4BPb2 at its relaxed geometry. The functional is PBE-GGA.

Lattice parameters (Å, degrees): 7.520 10.695 3.306 90.00 90.00 90.00
Space group Pbam (No. 55)
Unique sites:
Ti1 0.127 0.178 0.000
Ti2 0.168 0.934 0.500
B1 0.000 0.000 0.000
Pb1 0.059 0.644 0.500

Calculated values
- Total DFT energy (no corrections): -6.701 eV/atom
- Spin magnetization: 0.0001 μB per atom

Entry 3:
This record from Alexandria via LeMat-Bulk describes crystalline Ti5B2Pb at its relaxed geometry. The functional is PBE-GGA.

Lattice parameters (Å, degrees): 6.204 6.204 12.740 90.00 90.00 90.00
Space group I4/mcm (No. 140)
Unique sites:
Ti1 0.000 0.000 0.000
Ti2 0.175 0.325 0.117
B1 0.109 0.391 0.500
Pb1 0.000 0.000 0.250

Calculated values
- Total DFT energy (no corrections): -7.407 eV/atom
- Spin magnetization: 0.0031 μB per atom

Entry 4:
This record from Alexandria via LeMat-Bulk describes crystalline TiB3Pb at its relaxed geometry. The functional is PBE-GGA.

Lattice parameters (Å, degrees): 4.338 4.338 4.338 90.00 90.00 90.00
Space group Pm-3m (No. 221)
Unique sites:
Ti1 0.000 0.000 0.000
B1 0.000 0.000 0.500
Pb1 0.500 0.500 0.500

Calculated values
- Total DFT energy (no corrections): -4.983 eV/atom
- Spin magnetization: 0.0000 μB per atom

Entry 5:
This record from Alexandria via LeMat-Bulk describes crystalline Ti4BPb2 at its relaxed geometry. The functional is PBE-GGA.

Lattice parameters (Å, degrees): 4.285 4.285 14.509 90.00 90.00 90.00
Space group I4/mmm (No. 139)
Unique sites:
Ti1 0.000 0.000 0.148
Ti2 0.000 0.500 0.000
B1 0.000 0.000 0.000
Pb1 0.000 0.000 0.351

Calculated values
- Total DFT energy (no corrections): -6.750 eV/atom
- Spin magnetization: 0.0053 μB per atom

Entry 6:
This record from Alexandria via LeMat-Bulk describes crystalline Ti10BPb6 at its relaxed geometry. The functional is PBE-GGA.

Lattice parameters (Å, degrees): 8.2234 8.2234 5.5879 90.00 90.00 120.00
Space group P-31m (No. 162)
Unique sites:
Ti1 0.0000 0.2249 0.2637
Ti2 0.3333 0.6667 0.0000
Ti3 0.3333 0.6667 0.5000
B1 0.0000 0.0000 0.5000
Pb1 0.0000 0.3954 0.7533

Calculated values
- Total DFT energy (no corrections): -6.480 eV/atom
- Spin magnetization: 0.0000 μB per atom

Entry 7:
This record from Alexandria via LeMat-Bulk describes crystalline Ti6BPb2 at its relaxed geometry. The functional is PBE-GGA.

Lattice parameters (Å, degrees): 13.922 7.638 3.323 90.00 103.65 90.00
Space group C2/m (No. 12)
Unique sites:
Ti1 0.000 0.193 0.000
Ti2 0.161 0.175 0.659
B1 0.000 0.000 0.500
Pb1 0.139 0.500 0.137

Calculated values
- Total DFT energy (no corrections): -6.651 eV/atom
- Spin magnetization: 0.4905 μB per atom

Entry 8:
This record from Alexandria via LeMat-Bulk describes crystalline YTiB2Pb at its relaxed geometry. The functional is PBE-GGA.

Lattice parameters (Å, degrees): 4.655 4.655 5.195 90.00 90.00 90.00
Space group P4/mmm (No. 123)
Unique sites:
Y1 0.000 0.000 0.000
Ti1 0.500 0.500 0.000
B1 0.000 0.500 0.500
Pb1 0.500 0.500 0.500

Calculated values
- Total DFT energy (no corrections): -4.555 eV/atom
- Spin magnetization: 0.2264 μB per atom

Entry 9:
This record from Alexandria via LeMat-Bulk describes crystalline ZrTi2BPb at its relaxed geometry. The functional is PBE-GGA.

Lattice parameters (Å, degrees): 4.388 4.388 4.656 90.00 90.00 90.00
Space group P4/mmm (No. 123)
Unique sites:
Zr1 0.000 0.000 0.000
Ti1 0.000 0.500 0.500
B1 0.000 0.000 0.500
Pb1 0.500 0.500 0.000

Calculated values
- Total DFT energy (no corrections): -7.272 eV/atom
- Spin magnetization: 0.0067 μB per atom

Entry 10:
This record from Alexandria via LeMat-Bulk describes crystalline Zr2TiBPb at its relaxed geometry. The functional is PBE-GGA.

Lattice parameters (Å, degrees): 4.683 4.683 4.388 90.00 90.00 90.00
Space group P4/mmm (No. 123)
Unique sites:
Zr1 0.000 0.500 0.000
Ti1 0.000 0.000 0.500
B1 0.000 0.000 0.000
Pb1 0.500 0.500 0.500

Calculated values
- Total DFT energy (no corrections): -7.419 eV/atom
- Spin magnetization: 0.0784 μB per atom

Entry 11:
This record from Alexandria via LeMat-Bulk describes crystalline TlBPb2 at its relaxed geometry. The functional is PBE-GGA.

Lattice parameters (Å, degrees): 7.427 7.427 7.427 90.00 90.00 90.00
Space group Fm-3m (No. 225)
Unique sites:
Tl1 0.000 0.000 0.000
B1 0.000 0.000 0.500
Pb1 0.250 0.250 0.250

Calculated values
- Total DFT energy (no corrections): -3.144 eV/atom
- Spin magnetization: 0.0000 μB per atom

Entry 12:
This record from Alexandria via LeMat-Bulk describes crystalline Tl3BPb at its relaxed geometry. The functional is PBE-GGA.

Lattice parameters (Å, degrees): 5.098 5.098 5.098 90.00 90.00 90.00
Space group Pm-3m (No. 221)
Unique sites:
Tl1 0.000 0.000 0.500
B1 0.000 0.000 0.000
Pb1 0.500 0.500 0.500

Calculated values
- Total DFT energy (no corrections): -2.868 eV/atom
- Spin magnetization: 0.0000 μB per atom

Please write out number 10 again, unchanged.
This record from Alexandria via LeMat-Bulk describes crystalline Zr2TiBPb at its relaxed geometry. The functional is PBE-GGA.

Lattice parameters (Å, degrees): 4.683 4.683 4.388 90.00 90.00 90.00
Space group P4/mmm (No. 123)
Unique sites:
Zr1 0.000 0.500 0.000
Ti1 0.000 0.000 0.500
B1 0.000 0.000 0.000
Pb1 0.500 0.500 0.500

Calculated values
- Total DFT energy (no corrections): -7.419 eV/atom
- Spin magnetization: 0.0784 μB per atom